! PBE NaBrO3, relaxed; values from VASP
&SYSTEM
  ibrav = 0, nat = 10, ntyp = 3
/
ATOMIC_SPECIES
Na 22.99 Na.upf
Br 79.90 Br.upf
O 16.00 O.upf
ATOMIC_POSITIONS crystal
Na 0.8500 0.7500 0.1632
Na 0.1500 0.2500 0.8368
Br 0.5607 0.7500 0.6637
Br 0.4393 0.2500 0.3363
O 0.3614 0.0226 0.1782
O 0.6386 0.9774 0.8218
O 0.3614 0.4774 0.1782
O 0.6386 0.5226 0.8218
O 0.1367 0.7500 0.5348
O 0.8633 0.2500 0.4652
CELL_PARAMETERS angstrom
-0.7899 4.1217 -0.3116
-5.7106 -1.0424 0.6881
1.1800 -1.9936 6.7722
! * uncorrected energy: -4.11 eV per atom
! * D(E_F): 0.0 states/eV/f.u.
! * formation energy from raw total energies: -0.54 eV per atom